## LaPr3Er3 (PBE)

Data for a geometry-optimized LaPr3Er3 structure.

```
14
Lattice="-2.979 -4.650 1.902 3.614 1.341 8.937 -8.348 4.296 -2.569" Properties=species:S:1:pos:R:3 pbc="T T T"
Pr -6.393 3.430 2.858
Pr -2.121 -0.650 8.541
Pr -5.591 1.637 -0.270
Pr -1.318 -2.444 5.413
Pr -4.382 -0.392 5.632
Pr -3.330 1.378 2.639
Er -0.289 -0.661 2.414
Er -4.227 3.239 5.782
Er 1.164 0.912 8.536
Er -7.423 1.648 5.856
Er -3.485 -2.252 2.489
Er -8.876 0.074 -0.265
La -6.594 -0.177 2.693
La -1.118 1.163 5.578
```

Values from the calculation:
Magnetization = 0.00 Bohr magnetons per cell
Space-group type = No. 176
Energy of formation from the pure elements = 31 meV per atom